First-principles (GGA-PBE) data for Pa4Cd after structural relaxation, as listed in Alexandria via LeMat-Bulk.

a b c (Å): 5.4988 5.4988 5.4988
angles (deg): 90.00 90.00 90.00
Last column: nearest neighbours and their distance in Å.
Fractional coordinates of all 5 atoms:
Pa  0.0000  0.0000  0.0000  12 Pa 3.89
Pa  0.0000  0.5000  0.5000  2 Cd 2.75
Pa  0.5000  0.0000  0.5000  2 Cd 2.75
Pa  0.5000  0.5000  0.0000  2 Cd 2.75
Cd  0.5000  0.5000  0.5000  6 Pa 2.75

## Properties
As for the formation energy: 1617.1 meV/atom. The calculation puts the volume at 166.3 Å³/cell. The space-group type is Pm-3m, No. 221.

First-principles (GGA-PBE) data for FeCo after structural relaxation, as listed in Alexandria via LeMat-Bulk.

a b c (Å): 3.4038 3.4038 3.4038
angles (deg): 137.36 102.75 92.50
Last column: nearest neighbours and their distance in Å.
Fractional coordinates of all 2 atoms:
Fe  0.0000  0.0000  0.0000  6 Co 2.35-2.46, 2 Fe 2.48
Co  0.5000  0.5000  0.0000  6 Fe 2.35-2.46, 2 Co 2.48

## Properties
As for the formation energy: 460.7 meV/atom. The calculation puts the volume at 24.8 Å³/cell. The space-group type is Immm, No. 71.

First-principles (GGA-PBE) data for HoPuCuAu after structural relaxation, as listed in Alexandria via LeMat-Bulk.

a b c (Å): 5.0334 5.0334 5.0334
angles (deg): 60.00 60.00 60.00
Last column: nearest neighbours and their distance in Å.
Fractional coordinates of all 4 atoms:
Ho  0.0000  0.0000  0.0000  4 Cu 3.08, 4 Au 3.08
Pu  0.5000  0.5000  0.5000  4 Au 3.08, 4 Cu 3.08
Cu  0.7500  0.7500  0.7500  4 Pu 3.08, 4 Ho 3.08
Au  0.2500  0.2500  0.2500  4 Pu 3.08, 4 Ho 3.08

## Properties
As for the formation energy: -305.9 meV/atom. The calculation puts the volume at 90.2 Å³/cell. The space-group type is F-43m, No. 216.